# 1
SrBe3F | Alexandria via LeMat-Bulk | GGA-PBE | relaxed; space-group type = Pm-3m, No. 221; mass density = 2.5 g/cm³; offset from the most stable computed form = 0 meV/atom; calculated volume = 88.6 Å³ per cell; spin magnetization = 0.0 μB/f.u.; E_tot = -2.4595 eV per atom; DOS(E_F) = 2.67 states/eV per cell; formation energy without anion corrections = 487 meV per atom
1.0
4.459 0.000 0.000
0.000 4.459 0.000
0.000 0.000 4.459
Sr Be F
1 3 1
direct
0.000 0.000 0.000
0.000 0.500 0.500
0.500 0.000 0.500
0.500 0.500 0.000
0.500 0.500 0.500

# 2
Sr3HoRhO6 | Alexandria via LeMat-Bulk | GGA-PBE | relaxed; space-group type = R-3c, No. 167; mass density = 6.5 g/cm³; calculated volume = 320.7 Å³ per cell; spin magnetization = 0.0 μB/f.u.; E_tot = -6.8055 eV per atom; DOS(E_F) = 0.00 states/eV per cell; formation energy without anion corrections = -2558 meV per atom
1.0
4.935 2.849 3.801
-4.935 2.849 3.801
0.000 -5.699 3.801
Sr Ho Rh O
6 2 2 12
direct
0.119 0.750 0.381
0.250 0.619 0.881
0.381 0.119 0.750
0.619 0.881 0.250
0.750 0.381 0.119
0.881 0.250 0.619
0.250 0.250 0.250
0.750 0.750 0.750
0.000 0.000 0.000
0.500 0.500 0.500
0.043 0.909 0.708
0.091 0.292 0.957
0.208 0.409 0.543
0.292 0.957 0.091
0.409 0.543 0.208
0.457 0.792 0.591
0.543 0.208 0.409
0.591 0.457 0.792
0.708 0.043 0.909
0.792 0.591 0.457
0.909 0.708 0.043
0.957 0.091 0.292

# 3
BaSr2MnV | Alexandria via LeMat-Bulk | GGA-PBE | relaxed; space-group type = P4/mmm, No. 123; mass density = 3.3 g/cm³; calculated volume = 209.5 Å³ per cell; spin magnetization = 6.8 μB/f.u.; E_tot = -3.7048 eV per atom; DOS(E_F) = 10.92 states/eV per cell
1.0
5.926 0.000 0.000
0.000 5.926 0.000
0.000 0.000 5.968
Ba Sr Mn V
1 2 1 1
direct
0.000 0.000 0.000
0.000 0.500 0.500
0.500 0.000 0.500
0.000 0.000 0.500
0.500 0.500 0.000

# 4
GaSnBiTe2 | Alexandria via LeMat-Bulk | GGA-PBE | relaxed; space-group type = P4/mmm, No. 123; mass density = 5.6 g/cm³; calculated volume = 194.3 Å³ per cell; spin magnetization = 0.0 μB/f.u.; E_tot = -2.9761 eV per atom; DOS(E_F) = 3.19 states/eV per cell; formation energy without anion corrections = 463 meV per atom
1.0
6.077 0.000 0.000
0.000 6.077 0.000
0.000 0.000 5.262
Ga Sn Bi Te
1 1 1 2
direct
0.000 0.000 0.000
0.500 0.500 0.000
0.000 0.000 0.500
0.000 0.500 0.500
0.500 0.000 0.500

# 5
ZnCoAs2 | Alexandria via LeMat-Bulk | GGA-PBE | relaxed; space-group type = I4/mmm, No. 139; mass density = 7.5 g/cm³; calculated volume = 122.1 Å³ per cell; spin magnetization = 0.0 μB/f.u.; E_tot = -4.1856 eV per atom; DOS(E_F) = 5.14 states/eV per cell
1.0
4.202 0.000 0.000
0.000 4.202 0.000
0.000 0.000 6.916
Zn Co As
2 2 4
direct
0.000 0.000 0.000
0.500 0.500 0.500
0.000 0.000 0.500
0.500 0.500 0.000
0.000 0.500 0.250
0.000 0.500 0.750
0.500 0.000 0.250
0.500 0.000 0.750

# 6
LuPa2Re | Alexandria via LeMat-Bulk | GGA-PBE | relaxed; space-group type = P4/mmm, No. 123; mass density = 14.1 g/cm³; offset from the most stable computed form = 0 meV/atom; calculated volume = 96.7 Å³ per cell; spin magnetization = 0.0 μB/f.u.; E_tot = -8.8647 eV per atom; DOS(E_F) = 10.11 states/eV per cell
1.0
3.299 0.000 0.000
0.000 3.299 0.000
0.000 0.000 8.889
Lu Pa Re
1 2 1
direct
0.000 0.000 0.000
0.500 0.500 0.296
0.500 0.500 0.704
0.000 0.000 0.500